No. 1
A geometry-optimized AlTl2Sb2 structure, computed with GGA-PBE.

Calculated values
- raw formation energy (kJ per mole of atoms) = 30.3
- polymorph energy (0 for the lowest one) (eV per atom) = 0.2170
- V (Å³ per atom) = 30.18
- space-group type = I4/mmm

Structure (POSCAR):
```
AlTl2Sb2
1.0
-2.117 2.117 8.419
2.117 -2.117 8.419
2.117 2.117 -8.419
Al Tl Sb
1 2 2
Direct
0.000 0.000 0.000
0.250 0.750 0.500
0.750 0.250 0.500
0.417 0.417 0.000
0.583 0.583 0.000
```

=====

No. 2
A geometry-optimized CdHg5Bi2 structure, computed with GGA-PBE.

Calculated values
- DFT formation energy (eV per atom) = 0.0733
- V (Å³ per atom) = 27.94
- space-group type = I4/mmm

Structure (POSCAR):
```
CdHg5Bi2
1.0
-2.179 2.179 11.771
2.179 -2.179 11.771
2.179 2.179 -11.771
Cd Hg Bi
1 5 2
Direct
0.000 0.000 0.000
0.113 0.613 0.500
0.387 0.887 0.500
0.500 0.500 0.000
0.613 0.113 0.500
0.887 0.387 0.500
0.276 0.276 0.000
0.724 0.724 0.000
```

=====

Number 1 is which compound?
AlTl2Sb2

=====

What did the second record say?
A geometry-optimized CdHg5Bi2 structure, computed with GGA-PBE.

Calculated values
- DFT formation energy (eV per atom) = 0.0733
- V (Å³ per atom) = 27.94
- space-group type = I4/mmm

Structure (POSCAR):
```
CdHg5Bi2
1.0
-2.179 2.179 11.771
2.179 -2.179 11.771
2.179 2.179 -11.771
Cd Hg Bi
1 5 2
Direct
0.000 0.000 0.000
0.113 0.613 0.500
0.387 0.887 0.500
0.500 0.500 0.000
0.613 0.113 0.500
0.887 0.387 0.500
0.276 0.276 0.000
0.724 0.724 0.000
```

=====

Look up the V of the second one.
27.94 Å³ per atom